# 1
Below is a relaxed CsMnAgF4 crystal, with properties calculated at the GGA+U level.

Unit cell a=4.4837 b=6.7497 c=9.1348 alpha=90.00 beta=92.21 gamma=90.00
With the nearest neighbours (Å) after each atom.
Atoms (fractional coordinates):
Cs  0.2252  0.2500  0.0962  6 F 2.92-3.12
Cs  0.7748  0.7500  0.9038  6 F 2.92-3.12
Mn  0.2688  0.2500  0.6847  5 F 2.04-2.26
Mn  0.7312  0.7500  0.3153  5 F 2.04-2.26
Ag  0.2530  0.7500  0.6002  5 F 2.30-2.56
Ag  0.7470  0.2500  0.3998  5 F 2.30-2.56
F  0.2349  0.7500  0.3270  2 Mn 2.23-2.26, 1 Ag 2.49
F  0.2513  0.2500  0.4583  1 Mn 2.07, 2 Ag 2.30-2.31
F  0.2709  0.0002  0.8106  1 Mn 2.04
F  0.2709  0.4998  0.8106  1 Mn 2.04
F  0.7291  0.9998  0.1894  1 Mn 2.04
F  0.7291  0.5002  0.1894  1 Mn 2.04
F  0.7487  0.7500  0.5417  1 Mn 2.07, 2 Ag 2.30-2.31
F  0.7651  0.2500  0.6730  2 Mn 2.23-2.26, 1 Ag 2.49

## Properties
As for the density of states at the Fermi level: 0.00 states/eV/f.u. The value obtained for the total magnetization is 5.0 μB/f.u.

---

# 2
Below is a relaxed Cs4Mn3AgF12 crystal, with properties calculated at the GGA+U level.

Unit cell a=7.6707 b=7.6707 c=7.6707 alpha=109.47 beta=109.47 gamma=109.47
With the nearest neighbours (Å) after each atom.
Atoms (fractional coordinates):
Cs  0.0000  0.0000  0.5000  12 F 3.13-3.14
Cs  0.0000  0.5000  0.0000  12 F 3.13-3.14
Cs  0.5000  0.0000  0.0000  12 F 3.13-3.14
Cs  0.5000  0.5000  0.5000  12 F 3.13-3.14
Mn  0.0000  0.5000  0.5000  6 F 2.02-2.21
Mn  0.5000  0.0000  0.5000  6 F 2.02-2.21
Mn  0.5000  0.5000  0.0000  6 F 2.02-2.21
Ag  0.0000  0.0000  0.0000  6 F 2.41
F  0.0000  0.2724  0.2724  1 Mn 2.02
F  0.0000  0.7276  0.7276  1 Mn 2.02
F  0.2500  0.5000  0.7500  2 Mn 2.21
F  0.2500  0.7500  0.5000  2 Mn 2.21
F  0.2724  0.0000  0.2724  1 Mn 2.02
F  0.2724  0.2724  0.0000  1 Mn 2.02
F  0.5000  0.2500  0.7500  2 Mn 2.21
F  0.5000  0.7500  0.2500  2 Mn 2.21
F  0.7276  0.0000  0.7276  1 Mn 2.02
F  0.7276  0.7276  0.0000  1 Mn 2.02
F  0.7500  0.2500  0.5000  2 Mn 2.21
F  0.7500  0.5000  0.2500  2 Mn 2.21

## Properties
As for the density of states at the Fermi level: 3.90 states/eV/f.u. The value obtained for the total magnetization is 14.0 μB/f.u.

---

# 3
Below is a relaxed Cs3MnAg2F9 crystal, with properties calculated at the GGA+U level.

Unit cell a=6.3352 b=6.3352 c=7.7825 alpha=90.00 beta=90.00 gamma=120.00
With the nearest neighbours (Å) after each atom.
Atoms (fractional coordinates):
Cs  0.0000  0.0000  0.0000  12 F 3.17-3.21
Cs  0.3333  0.6667  0.6807  12 F 3.09-3.25
Cs  0.6667  0.3333  0.3193  12 F 3.09-3.25
Mn  0.0000  0.0000  0.5000  6 F 1.99
Ag  0.3333  0.6667  0.1772  6 F 2.29-2.45
Ag  0.6667  0.3333  0.8228  6 F 2.29-2.45
F  0.0000  0.5000  0.0000  2 Ag 2.29
F  0.1492  0.2984  0.3543  1 Mn 1.99
F  0.1492  0.8508  0.3543  1 Mn 1.99
F  0.2984  0.1492  0.6457  1 Mn 1.99
F  0.5000  0.0000  0.0000  2 Ag 2.29
F  0.5000  0.5000  0.0000  2 Ag 2.29
F  0.7016  0.8508  0.3543  1 Mn 1.99
F  0.8508  0.1492  0.6457  1 Mn 1.99
F  0.8508  0.7016  0.6457  1 Mn 1.99

## Properties
As for the density of states at the Fermi level: 4.55 states/eV/f.u. The value obtained for the total magnetization is 2.9 μB/f.u.

---

# 4
Below is a relaxed CsMn2AgF8 crystal, with properties calculated at the GGA+U level.

Unit cell a=5.9072 b=5.9072 c=8.3808 alpha=90.00 beta=90.00 gamma=120.00
With the nearest neighbours (Å) after each atom.
Atoms (fractional coordinates):
Cs  0.0000  0.0000  0.0000  12 F 3.29-3.42
Mn  0.3333  0.6667  0.7369  4 F 1.89-1.94
Mn  0.6667  0.3333  0.2631  4 F 1.89-1.94
Ag  0.0000  0.0000  0.5000  6 F 2.20
F  0.0747  0.3196  0.6650  1 Mn 1.94
F  0.2449  0.9253  0.6650  1 Mn 1.94
F  0.3196  0.2449  0.3350  1 Mn 1.94
F  0.3333  0.6667  0.9626  1 Mn 1.89
F  0.6667  0.3333  0.0374  1 Mn 1.89
F  0.6804  0.7551  0.6650  1 Mn 1.94
F  0.7551  0.0747  0.3350  1 Mn 1.94
F  0.9253  0.6804  0.3350  1 Mn 1.94

## Properties
As for the density of states at the Fermi level: 0.33 states/eV/f.u. The value obtained for the total magnetization is 8.0 μB/f.u.

---

# 5
Below is a relaxed Cs2Mn3AgF12 crystal, with properties calculated at the GGA+U level.

Unit cell a=7.5230 b=7.5230 c=7.5230 alpha=61.71 beta=61.71 gamma=61.71
With the nearest neighbours (Å) after each atom.
Atoms (fractional coordinates):
Cs  0.1153  0.1153  0.1153  3 F 3.07
Cs  0.8847  0.8847  0.8847  3 F 3.07
Mn  0.0000  0.5000  0.5000  6 F 1.86-2.02
Mn  0.5000  0.0000  0.5000  6 F 1.86-2.02
Mn  0.5000  0.5000  0.0000  6 F 1.86-2.02
Ag  0.5000  0.5000  0.5000  6 F 2.51
F  0.1037  0.6015  0.6015  1 Mn 1.86
F  0.2044  0.2044  0.5905  2 Mn 2.02
F  0.2044  0.5905  0.2044  2 Mn 2.02
F  0.3985  0.3985  0.8963  1 Mn 1.86
F  0.3985  0.8963  0.3985  1 Mn 1.86
F  0.4095  0.7956  0.7956  2 Mn 2.02
F  0.5905  0.2044  0.2044  2 Mn 2.02
F  0.6015  0.1037  0.6015  1 Mn 1.86
F  0.6015  0.6015  0.1037  1 Mn 1.86
F  0.7956  0.4095  0.7956  2 Mn 2.02
F  0.7956  0.7956  0.4095  2 Mn 2.02
F  0.8963  0.3985  0.3985  1 Mn 1.86

## Properties
The value obtained for the total magnetization is 11.9 μB/f.u.

---

# 6
Below is a relaxed CsMn2Ag2F7 crystal, with properties calculated at the GGA+U level.

Unit cell a=10.8705 b=10.8705 c=10.8705 alpha=157.51 beta=155.53 gamma=33.48
With the nearest neighbours (Å) after each atom.
Atoms (fractional coordinates):
Cs  0.0000  0.0000  0.0000  12 F 3.10-3.16
Mn  0.3967  0.3967  0.0000  6 F 2.12-2.31
Mn  0.6033  0.6033  0.0000  6 F 2.12-2.31
Ag  0.2267  0.7267  0.5000  5 F 2.34-2.53
Ag  0.7733  0.2733  0.5000  5 F 2.34-2.53
F  0.1090  0.6090  0.5000  2 Mn 2.31, 1 Ag 2.45
F  0.2928  0.2928  0.0000  1 Mn 2.16, 2 Ag 2.34
F  0.3963  0.8963  0.5000  2 Mn 2.12
F  0.5000  0.5000  0.0000  2 Mn 2.15
F  0.6037  0.1037  0.5000  2 Mn 2.12
F  0.7072  0.7072  0.0000  1 Mn 2.16, 2 Ag 2.34
F  0.8910  0.3910  0.5000  2 Mn 2.31, 1 Ag 2.45

## Properties
The value obtained for the total magnetization is 10.0 μB/f.u.

---

# 7
Below is a relaxed Cs2Mn2AgF7 crystal, with properties calculated at the GGA+U level.

Unit cell a=12.0180 b=12.0180 c=12.0180 alpha=159.30 beta=159.30 gamma=29.43
With the nearest neighbours (Å) after each atom.
Atoms (fractional coordinates):
Cs  0.1832  0.1832  0.0000  9 F 3.05-3.14
Cs  0.8168  0.8168  0.0000  9 F 3.05-3.14
Mn  0.4107  0.4107  0.0000  6 F 2.08-2.16
Mn  0.5893  0.5893  0.0000  6 F 2.08-2.16
Ag  0.0000  0.0000  0.0000  12 F 2.95-3.05
F  0.0862  0.5862  0.5000  2 Mn 2.16
F  0.3183  0.3183  0.0000  1 Mn 2.15
F  0.4138  0.9138  0.5000  2 Mn 2.16
F  0.5000  0.5000  0.0000  2 Mn 2.08
F  0.5862  0.0862  0.5000  2 Mn 2.16
F  0.6817  0.6817  0.0000  1 Mn 2.15
F  0.9138  0.4138  0.5000  2 Mn 2.16

## Properties
The value obtained for the total magnetization is 10.0 μB/f.u.

---

# 8
Below is a relaxed CsMnAg2F8 crystal, with properties calculated at the GGA+U level.

Unit cell a=5.2476 b=5.3862 c=7.9455 alpha=93.46 beta=102.09 gamma=100.54
With the nearest neighbours (Å) after each atom.
Atoms (fractional coordinates):
Cs  0.0000  0.0000  0.0000  8 F 2.90-3.20
Mn  0.0000  0.0000  0.5000  6 F 1.84-1.88
Ag  0.3759  0.5114  0.7700  4 F 2.21-2.28
Ag  0.6241  0.4886  0.2300  4 F 2.21-2.28
F  0.0908  0.8016  0.3345  1 Mn 1.84
F  0.1788  0.8320  0.6736  1 Mn 1.88
F  0.3067  0.2504  0.5213  1 Mn 1.87
F  0.4265  0.7047  0.0310  2 Ag 2.21-2.22
F  0.5735  0.2953  0.9690  2 Ag 2.21-2.22
F  0.6933  0.7496  0.4787  1 Mn 1.87
F  0.8212  0.1680  0.3264  1 Mn 1.88
F  0.9092  0.1984  0.6655  1 Mn 1.84

## Properties
As for the density of states at the Fermi level: 0.44 states/eV/f.u. The value obtained for the total magnetization is 4.0 μB/f.u.

---

# 9
Below is a relaxed Cs2AgMoF6 crystal, with properties calculated at the GGA+U level.

Unit cell a=6.5088 b=6.5088 c=6.5088 alpha=60.00 beta=60.00 gamma=60.00
With the nearest neighbours (Å) after each atom.
Atoms (fractional coordinates):
Cs  0.2500  0.2500  0.2500  12 F 3.26
Cs  0.7500  0.7500  0.7500  12 F 3.26
Ag  0.0000  0.0000  0.0000  6 F 2.49
Mo  0.5000  0.5000  0.5000  6 F 2.11
F  0.2707  0.2707  0.7293  1 Mo 2.11
F  0.2707  0.7293  0.2707  1 Mo 2.11
F  0.2707  0.7293  0.7293  1 Mo 2.11
F  0.7293  0.2707  0.2707  1 Mo 2.11
F  0.7293  0.2707  0.7293  1 Mo 2.11
F  0.7293  0.7293  0.2707  1 Mo 2.11

## Properties
As for the density of states at the Fermi level: 0.00 states/eV/f.u. The value obtained for the total magnetization is 3.0 μB/f.u.

---

# 10
Below is a relaxed CsAgMoF6 crystal, with properties calculated at the GGA+U level.

Unit cell a=5.8264 b=6.1939 c=6.2290 alpha=118.02 beta=90.47 gamma=90.58
With the nearest neighbours (Å) after each atom.
Atoms (fractional coordinates):
Cs  0.0000  0.0000  0.0000  6 F 2.97-3.02
Ag  0.4995  0.3199  0.6828  6 F 2.42-2.63
Mo  0.5026  0.6594  0.3406  6 F 1.98-2.05
F  0.3008  0.6476  0.0783  1 Mo 1.98
F  0.3134  0.3985  0.3598  1 Mo 2.00
F  0.3185  0.9341  0.6056  1 Mo 2.05
F  0.6869  0.3991  0.0621  1 Mo 2.05
F  0.6964  0.6356  0.5942  1 Mo 2.00
F  0.7005  0.9275  0.3553  1 Mo 1.98

## Properties
As for the density of states at the Fermi level: 0.00 states/eV/f.u. The value obtained for the total magnetization is 2.0 μB/f.u.

---

no.,final energy (eV/atom),V (A^3/atom)
1,-4.827,19.73
2,-5.104,17.37
3,-4.361,18.03
4,-4.927,21.11
5,-5.194,17.37
6,-4.983,16.95
7,-5.119,18.06
8,-4.260,17.90
9,-4.704,19.50
10,-4.777,22.05